1.
# LaMnCl, optimized geometry, DFT PBE
# - Formation energy (no corrections): -0.39 eV/atom
# - Space group: Fmm2, No. 42
# - Magnetic moment: 3.17 μB/f.u.
# - V: 78 Å³ per cell
# - E: -5.704 eV per atom
data_LaMnCl
_chemical_formula_sum 'La1 Mn1 Cl1'
_cell_length_a 7.022
_cell_length_b 7.020
_cell_length_c 3.452
_cell_angle_alpha 75.80
_cell_angle_beta 75.74
_cell_angle_gamma 28.46
_space_group_name_H-M_alt 'P 1'
_space_group_IT_number 1
_space_group_name_Hall 'P 1'
loop_
_atom_site_label
_atom_site_type_symbol
_atom_site_fract_x
_atom_site_fract_y
_atom_site_fract_z
La1 La 0.338 0.338 0.662
Mn1 Mn 0.678 0.678 0.322
Cl1 Cl 0.984 0.984 0.016

=====

2.
# LaMn2Cl, optimized geometry, DFT PBE
# - Formation energy (no corrections): 0.20 eV/atom
# - Space group: Pmmm, No. 47
# - Magnetic moment: 7.71 μB/f.u.
# - Distance to the lowest polymorph of the same formula: 0.4047 eV/atom
# - V: 99 Å³ per cell
# - E: -6.082 eV per atom
data_LaMn2Cl
_chemical_formula_sum 'La1 Mn2 Cl1'
_cell_length_a 3.618
_cell_length_b 4.804
_cell_length_c 5.676
_cell_angle_alpha 90.00
_cell_angle_beta 90.00
_cell_angle_gamma 90.00
_space_group_name_H-M_alt 'P 1'
_space_group_IT_number 1
_space_group_name_Hall 'P 1'
loop_
_atom_site_label
_atom_site_type_symbol
_atom_site_fract_x
_atom_site_fract_y
_atom_site_fract_z
Mn1 Mn 0.000 0.000 0.981
Mn2 Mn 0.000 0.000 0.519
La1 La 0.500 0.500 0.750
Cl1 Cl 0.500 0.500 0.250

=====

3.
# La2MnCl, optimized geometry, DFT PBE
# - Formation energy (no corrections): -0.54 eV/atom
# - Space group: P4/mmm, No. 123
# - Magnetic moment: 1.88 μB/f.u.
# - Distance to the lowest polymorph of the same formula: 0.0381 eV/atom
# - V: 102 Å³ per cell
# - E: -5.756 eV per atom
data_La2MnCl
_chemical_formula_sum 'La2 Mn1 Cl1'
_cell_length_a 3.475
_cell_length_b 3.475
_cell_length_c 8.412
_cell_angle_alpha 90.00
_cell_angle_beta 90.00
_cell_angle_gamma 90.00
_space_group_name_H-M_alt 'P 1'
_space_group_IT_number 1
_space_group_name_Hall 'P 1'
loop_
_atom_site_label
_atom_site_type_symbol
_atom_site_fract_x
_atom_site_fract_y
_atom_site_fract_z
La1 La 0.000 0.000 0.475
La2 La 0.000 0.000 0.025
Cl1 Cl 0.500 0.500 0.750
Mn1 Mn 0.500 0.500 0.250

=====

4.
# LaMnCl, optimized geometry, DFT PBE
# - Formation energy (no corrections): -0.99 eV/atom
# - Space group: Cm, No. 8
# - Magnetic moment: 0.14 μB/f.u.
# - V: 163 Å³ per cell
# - E: -6.307 eV per atom
data_LaMnCl
_chemical_formula_sum 'La2 Mn2 Cl2'
_cell_length_a 4.035
_cell_length_b 4.036
_cell_length_c 11.778
_cell_angle_alpha 99.84
_cell_angle_beta 99.50
_cell_angle_gamma 59.98
_space_group_name_H-M_alt 'P 1'
_space_group_IT_number 1
_space_group_name_Hall 'P 1'
loop_
_atom_site_label
_atom_site_type_symbol
_atom_site_fract_x
_atom_site_fract_y
_atom_site_fract_z
La1 La 0.241 0.704 0.024
La2 La 0.361 0.836 0.409
Cl1 Cl 0.076 0.556 0.565
Cl2 Cl 0.860 0.317 0.868
Mn1 Mn 0.967 0.437 0.217
Mn2 Mn 0.634 0.103 0.217